Record 1
! AlTlGaSe4 PBE relaxed; values from VASP
&SYSTEM
  ibrav = 0, nat = 14, ntyp = 4
/
ATOMIC_SPECIES
Al 26.98 Al.upf
Tl 204.38 Tl.upf
Ga 69.72 Ga.upf
Se 78.96 Se.upf
ATOMIC_POSITIONS crystal
Al 0.178 0.250 0.302
Al 0.822 0.750 0.698
Tl 0.301 0.250 0.962
Tl 0.699 0.750 0.038
Ga 0.310 0.750 0.690
Ga 0.690 0.250 0.310
Se 0.002 0.250 0.502
Se 0.127 0.750 0.886
Se 0.426 0.519 0.282
Se 0.426 0.981 0.282
Se 0.574 0.019 0.718
Se 0.574 0.481 0.718
Se 0.873 0.250 0.114
Se 0.998 0.750 0.498
CELL_PARAMETERS angstrom
6.431 0.000 0.000
0.000 6.565 0.000
-1.990 0.000 9.650
! **Magnetic moment**: 0.0 μB/cell
! **Formation energy (no corrections)**: -0.54 eV per atom

---

Record 2
! Na2BeAgAu PBE relaxed; values from VASP
&SYSTEM
  ibrav = 0, nat = 5, ntyp = 4
/
ATOMIC_SPECIES
Na 22.99 Na.upf
Be 9.01 Be.upf
Ag 107.87 Ag.upf
Au 196.97 Au.upf
ATOMIC_POSITIONS crystal
Na 0.000 0.500 0.000
Na 0.500 0.000 0.000
Be 0.000 0.000 0.000
Ag 0.500 0.500 0.500
Au 0.000 0.000 0.500
CELL_PARAMETERS angstrom
5.220 0.000 0.000
0.000 5.220 0.000
0.000 0.000 4.345
! **Magnetic moment**: 0.0 μB/cell
! **Energy of formation from the pure elements**: 291 meV per atom

---

Record 3
! AlRe3 PBE relaxed; values from VASP
&SYSTEM
  ibrav = 0, nat = 4, ntyp = 2
/
ATOMIC_SPECIES
Al 26.98 Al.upf
Re 186.21 Re.upf
ATOMIC_POSITIONS crystal
Al 0.000 0.000 0.000
Re 0.248 0.748 0.500
Re 0.500 0.500 0.000
Re 0.752 0.252 0.500
CELL_PARAMETERS angstrom
-1.542 2.153 4.393
1.542 -2.153 4.393
1.542 2.153 -4.393
! **Magnetic moment**: 0.0 μB/cell
! **Energy of formation from the pure elements**: -94 meV per atom

---

Record 4
! K2MgTl3F12 PBE relaxed; values from VASP
&SYSTEM
  ibrav = 0, nat = 18, ntyp = 4
/
ATOMIC_SPECIES
K 39.10 K.upf
Mg 24.30 Mg.upf
Tl 204.38 Tl.upf
F 19.00 F.upf
ATOMIC_POSITIONS crystal
K 0.174 0.174 0.174
K 0.826 0.826 0.826
Mg 0.500 0.500 0.500
Tl 0.000 0.500 0.500
Tl 0.500 0.000 0.500
Tl 0.500 0.500 0.000
F 0.164 0.164 0.545
F 0.164 0.545 0.164
F 0.203 0.563 0.563
F 0.437 0.437 0.797
F 0.437 0.797 0.437
F 0.455 0.836 0.836
F 0.545 0.164 0.164
F 0.563 0.203 0.563
F 0.563 0.563 0.203
F 0.797 0.437 0.437
F 0.836 0.455 0.836
F 0.836 0.836 0.455
CELL_PARAMETERS angstrom
4.065 2.347 6.392
-4.065 2.347 6.392
0.000 -4.694 6.392
! **Magnetic moment**: 0.0 μB/cell
! **Formation energy (no corrections)**: -2.30 eV per atom

---

Record 5
! GaNiMo PBE relaxed; values from VASP
&SYSTEM
  ibrav = 0, nat = 6, ntyp = 3
/
ATOMIC_SPECIES
Ga 69.72 Ga.upf
Ni 58.69 Ni.upf
Mo 95.94 Mo.upf
ATOMIC_POSITIONS crystal
Ga 0.004 0.004 0.285
Ga 0.996 0.996 0.715
Ni 0.327 0.327 0.413
Ni 0.673 0.673 0.587
Mo 0.336 0.336 0.921
Mo 0.664 0.664 0.079
CELL_PARAMETERS angstrom
4.360 -1.679 0.000
4.360 1.679 0.000
-1.907 0.000 5.628
! **Magnetic moment**: 0.0 μB/cell
! **Energy of formation from the pure elements**: -163 meV per atom

---

Record 6
! Cs2Tl2Te PBE relaxed; values from VASP
&SYSTEM
  ibrav = 0, nat = 10, ntyp = 3
/
ATOMIC_SPECIES
Cs 132.91 Cs.upf
Tl 204.38 Tl.upf
Te 127.60 Te.upf
ATOMIC_POSITIONS crystal
Cs 0.193 0.307 0.000
Cs 0.307 0.807 0.000
Cs 0.693 0.193 0.000
Cs 0.807 0.693 0.000
Tl 0.125 0.625 0.500
Tl 0.375 0.125 0.500
Tl 0.625 0.875 0.500
Tl 0.875 0.375 0.500
Te 0.000 0.000 0.500
Te 0.500 0.500 0.500
CELL_PARAMETERS angstrom
8.614 0.000 0.000
0.000 8.614 0.000
0.000 0.000 6.200
! **Magnetic moment**: 0.0 μB/cell
! **E above lowest polymorph**: 0.32 eV per formula unit
! **Formation energy (no corrections)**: -0.33 eV per atom